6
Lattice="2.293 -7.648 -0.732 4.625 -5.902 2.839 -5.580 -6.348 6.747" Properties=species:S:1:pos:R:3 comment="K5Mn | Alexandria via LeMat-Bulk | PBE | optimized geometry" dft_energy_ev_per_cell=-12.14 ef_ev_per_atom=0.42 mass_density_kg_m3=1170 n_ef_per_ev_cell=6.5 spacegroup="No. 8" pbc="T T T"
Mn -2.852 -9.776 6.641
K 6.396 -12.892 2.126
K 0.416 -13.877 6.512
K 3.335 -16.972 6.119
K -0.052 -6.611 3.266
K 3.464 -9.800 2.529